Density functional theory data (PBE) for a relaxed CdIrW2 crystal.

POSCAR file:
```
CdIrW2
1.0
-2.980 1.000 0.691
0.374 -0.985 3.041
2.353 5.892 1.619
W Ir Cd
2 1 1
direct
0.000 0.000 0.000 W
0.500 0.500 0.222 W
0.500 0.500 0.773 Ir
0.000 0.000 0.505 Cd
```

Computed properties:
Its size of the total moment is 0.00 μB per formula unit. The value obtained for the energy relative to the elements is 1.5 eV per formula unit.